# 1
Density functional theory data (PBE) for a geometry-optimized Cu4Ag structure.

It has space group Pmmm (No. 47), with a = 2.685 Å, b = 3.569 Å, c = 13.559 Å, α = 90.00°, β = 90.00° and γ = 90.00°. The inequivalent atoms are Cu at (0.000, 0.000, 0.000), Cu at (0.000, 0.000, 0.187), Cu at (0.500, 0.500, 0.093), Cu at (0.500, 0.500, 0.278), Cu at (0.500, 0.500, 0.500) and Ag at (0.000, 0.000, 0.390).

The distance to the lowest polymorph of the same formula is 18 meV per atom. For the formation energy, the calculation gives 62 meV per atom. Its crystal system is orthorhombic.

# 2
Density functional theory data (PBE) for a geometry-optimized Y2Zr structure.

It has space group Cmcm (No. 63), with a = 4.871 Å, b = 14.591 Å, c = 4.813 Å, α = 90.00°, β = 90.00° and γ = 90.00°. The inequivalent atoms are Y at (0.000, 0.079, 0.250), Y at (0.000, 0.250, 0.750) and Zr at (0.000, 0.425, 0.250).

The distance to the lowest polymorph of the same formula is 0 meV per atom. For the formation energy, the calculation gives 108 meV per atom. Its crystal system is orthorhombic. Its magnetization is 0.0 μB per cell.

# 3
Density functional theory data (PBE) for a geometry-optimized NdInSi2 structure.

It has space group P4/mmm (No. 123), with a = 3.993 Å, b = 3.993 Å, c = 7.670 Å, α = 90.00°, β = 90.00° and γ = 90.00°. The inequivalent atoms are Nd at (0.000, 0.000, 0.000), In at (0.500, 0.500, 0.500) and Si at (0.500, 0.500, 0.153).

The total energy comes out at -4.4860 eV per atom. Its crystal system is tetragonal. Its magnetization is 0.0 μB per cell.

# 4
Density functional theory data (PBE) for a geometry-optimized SrPrCu2Ge4 structure.

It has space group Amm2 (No. 38), with a = 4.226 Å, b = 4.378 Å, c = 17.501 Å, α = 90.00°, β = 90.00° and γ = 90.00°. The inequivalent atoms are Sr at (0.000, 0.000, 0.000), Pr at (0.500, 0.000, 0.212), Cu at (0.000, 0.000, 0.782), Cu at (0.500, 0.000, 0.428), Ge at (0.000, 0.000, 0.353), Ge at (0.000, 0.000, 0.647), Ge at (0.500, 0.000, 0.568) and Ge at (0.500, 0.000, 0.855).

The total energy comes out at -4.5521 eV per atom. Its crystal system is orthorhombic. Its magnetization is 0.0 μB per cell.